No. 1
NdLuInRu | PBE | relaxed

Results
Volume in A^3/atom: 23.43
VASP energy in eV per atom: -5.599
DFT formation energy in eV/atom: -0.2732

a = 5.0988 Å, b = 5.0988 Å, c = 5.0988 Å
α = 60.00°, β = 60.00°, γ = 60.00°
Positions (direct):
Nd (0.0000, 0.0000, 0.0000)
Lu (0.5000, 0.5000, 0.5000)
In (0.7500, 0.7500, 0.7500)
Ru (0.2500, 0.2500, 0.2500)



No. 2
LiNi2Hg | PBE | relaxed

Results
Volume in A^3/atom: 14.79
VASP energy in eV per atom: -3.236
DFT formation energy in eV/atom: 0.2088

a = 8.7370 Å, b = 8.7370 Å, c = 8.7370 Å
α = 18.58°, β = 18.58°, γ = 18.58°
Positions (direct):
Li (0.0000, 0.0000, 0.0000)
Ni (0.4818, 0.4818, 0.4818)
Ni (0.7457, 0.7457, 0.7457)
Hg (0.2384, 0.2384, 0.2384)



Which of these has the lowest VASP energy?
NdLuInRu